Compound: MgBeNi2
Source: Alexandria
Functional: SCAN
Structure: PBEsol geometry

abc: 2.719 3.974 4.759
angles: 114.29 106.60 90.00
Positions (direct):
Ni1 0.012 0.011 0.023
Ni2 0.770 0.271 0.539
Mg1 0.242 0.744 0.485
Be1 0.476 0.475 0.953

Values from the calculation:
- V: 44.5 Å³/cell
- Total magnetic moment: 0.00 μB per cell
- D(E_F): 1.56 states/eV per cell
- Formation energy: -0.113 eV/atom
- VASP energy: -10.532 eV/atom